This record from the Alexandria database describes crystalline Ba2InAs at its relaxed geometry. The functional is PBE-GGA.

Calculated values
E_form in eV per formula unit: -1.76
Distance to the lowest polymorph of the same formula in meV per atom: 279
Fermi-level density of states in states/eV/cell: 4.13
Theoretical density in g/cm³: 4.7
Magnetization in μB per atom: 0.00

Lattice parameters (Å, degrees): 9.241 9.241 7.591 52.51 52.51 90.00
Positions (direct):
Ba 0.169 0.625 0.250
Ba 0.581 0.125 0.250
Ba 0.875 0.831 0.750
Ba 0.375 0.419 0.750
As 0.500 0.500 0.000
As 0.250 0.750 0.500
In 0.750 0.250 0.500
In 0.000 0.000 0.000

---

This record from the Alexandria database describes crystalline Ba3In2As4 at its relaxed geometry. The functional is PBE-GGA.

Calculated values
E_form in eV per formula unit: -6.49
Distance to the lowest polymorph of the same formula in meV per atom: 97
Fermi-level density of states in states/eV/cell: 1.09
Theoretical density in g/cm³: 4.9
Magnetization in μB per atom: 0.00

Lattice parameters (Å, degrees): 8.596 8.878 9.488 117.89 91.63 90.00
Positions (direct):
In 0.025 0.787 0.352
In 0.525 0.565 0.352
In 0.975 0.213 0.648
In 0.475 0.435 0.648
Ba 0.250 0.473 0.000
Ba 0.871 0.220 0.252
Ba 0.750 0.527 0.000
Ba 0.371 0.032 0.252
Ba 0.629 0.968 0.748
Ba 0.129 0.780 0.748
As 0.826 0.646 0.463
As 0.518 0.275 0.098
As 0.674 0.183 0.537
As 0.482 0.725 0.902
As 0.982 0.177 0.902
As 0.174 0.354 0.537
As 0.326 0.817 0.463
As 0.018 0.823 0.098

---

This record from the Alexandria database describes crystalline Ba2InAs at its relaxed geometry. The functional is PBE-GGA.

Calculated values
E_form in eV per formula unit: -1.56
Distance to the lowest polymorph of the same formula in meV per atom: 330
Fermi-level density of states in states/eV/cell: 4.29
Theoretical density in g/cm³: 4.9
Magnetization in μB per atom: 0.00

Lattice parameters (Å, degrees): 3.963 5.736 6.971 90.00 90.00 90.00
Positions (direct):
Ba 0.000 0.000 0.875
Ba 0.500 0.500 0.375
As 0.500 0.500 0.874
In 0.000 0.000 0.376

---

This record from the Alexandria database describes crystalline Ba2InAs at its relaxed geometry. The functional is PBE-GGA.

Calculated values
E_form in eV per formula unit: -0.83
Distance to the lowest polymorph of the same formula in meV per atom: 514
Fermi-level density of states in states/eV/cell: 4.83
Theoretical density in g/cm³: 5.6
Magnetization in μB per atom: 0.00

Lattice parameters (Å, degrees): 5.791 5.791 5.791 60.00 60.00 60.00
Positions (direct):
As 0.500 0.500 0.500
Ba 0.000 0.000 0.000
Ba 0.250 0.250 0.250
In 0.750 0.750 0.750

---

This record from the Alexandria database describes crystalline Ba2InAs at its relaxed geometry. The functional is PBE-GGA.

Calculated values
E_form in eV per formula unit: -2.14
Distance to the lowest polymorph of the same formula in meV per atom: 184
Fermi-level density of states in states/eV/cell: 4.35
Theoretical density in g/cm³: 5.4
Magnetization in μB per atom: 0.00

Lattice parameters (Å, degrees): 5.867 5.867 5.867 60.00 60.00 60.00
Positions (direct):
Ba 0.250 0.250 0.250
Ba 0.750 0.750 0.750
In 0.500 0.500 0.500
As 0.000 0.000 0.000

---

This record from the Alexandria database describes crystalline Ba3InAs3 at its relaxed geometry. The functional is PBE-GGA.

Calculated values
E_form in eV per formula unit: -6.88
Distance to the lowest polymorph of the same formula in meV per atom: 0
Theoretical density in g/cm³: 5.1
Magnetization in μB per atom: 0.00

Lattice parameters (Å, degrees): 4.662 14.249 14.704 90.00 90.00 90.00
Positions (direct):
As 0.250 0.454 0.350
As 0.250 0.769 0.870
As 0.750 0.731 0.370
As 0.250 0.917 0.615
As 0.750 0.231 0.130
As 0.250 0.269 0.630
As 0.750 0.583 0.115
As 0.750 0.546 0.650
As 0.250 0.954 0.150
As 0.750 0.046 0.850
As 0.750 0.083 0.385
As 0.250 0.417 0.885
Ba 0.750 0.082 0.607
Ba 0.750 0.780 0.699
Ba 0.750 0.582 0.893
Ba 0.750 0.868 0.994
Ba 0.250 0.132 0.006
Ba 0.250 0.418 0.107
Ba 0.250 0.918 0.393
Ba 0.250 0.632 0.494
Ba 0.750 0.280 0.801
Ba 0.250 0.720 0.199
Ba 0.250 0.220 0.301
Ba 0.750 0.368 0.506
In 0.250 0.949 0.796
In 0.750 0.551 0.296
In 0.750 0.051 0.204
In 0.250 0.449 0.704